First-principles (PBE) data for Ce2Pu2Sb2N after structural relaxation, as listed in Alexandria via LeMat-Bulk.

As for the raw formation energy: -951 meV/atom. The calculation puts the final energy at -9.1082 eV/atom. As for the space-group type: I4/mmm, No. 139.

The structure in extended XYZ format:
```
14
Lattice="4.708 0.000 0.000 0.000 4.708 0.000 0.000 0.000 16.567" Properties=species:S:1:pos:R:3 pbc="T T T"
Ce 0.000 0.000 2.689
Ce 0.000 0.000 13.878
Ce 2.354 2.354 5.594
Ce 2.354 2.354 10.972
Pu 0.000 2.354 0.000
Pu 0.000 2.354 8.283
Pu 2.354 0.000 0.000
Pu 2.354 0.000 8.283
Sb 0.000 0.000 5.943
Sb 0.000 0.000 10.623
Sb 2.354 2.354 2.340
Sb 2.354 2.354 14.227
N 0.000 0.000 0.000
N 2.354 2.354 8.283
```

First-principles (PBE) data for CePuSb2N after structural relaxation, as listed in Alexandria via LeMat-Bulk.

As for the raw formation energy: -746 meV/atom. The calculation puts the final energy at -8.1130 eV/atom. As for the space-group type: P4/nmm, No. 129.

The structure in extended XYZ format:
```
10
Lattice="4.014 0.000 0.000 0.000 4.014 0.000 0.000 0.000 14.574" Properties=species:S:1:pos:R:3 pbc="T T T"
Ce 1.004 1.004 1.094
Ce 3.011 3.011 13.480
Pu 1.004 1.004 8.053
Pu 3.011 3.011 6.522
Sb 1.004 1.004 4.884
Sb 1.004 1.004 11.270
Sb 3.011 3.011 3.304
Sb 3.011 3.011 9.690
N 1.004 3.011 0.000
N 3.011 1.004 0.000
```

First-principles (PBE) data for CePuSbN after structural relaxation, as listed in Alexandria via LeMat-Bulk.

As for the raw formation energy: -1076 meV/atom. The calculation puts the final energy at -9.2547 eV/atom. As for the space-group type: P4/nmm, No. 129.

The structure in extended XYZ format:
```
8
Lattice="4.602 0.000 0.000 0.000 4.602 0.000 0.000 0.000 8.948" Properties=species:S:1:pos:R:3 pbc="T T T"
Ce 1.150 3.451 0.000
Ce 3.451 1.150 0.000
Pu 1.150 1.150 3.008
Pu 3.451 3.451 5.940
Sb 1.150 1.150 6.256
Sb 3.451 3.451 2.692
N 1.150 1.150 0.843
N 3.451 3.451 8.105
```

First-principles (PBE) data for CePuSe2N after structural relaxation, as listed in Alexandria via LeMat-Bulk.

As for the raw formation energy: -1511 meV/atom. The calculation puts the final energy at -8.6234 eV/atom. As for the space-group type: P4/nmm, No. 129.

The structure in extended XYZ format:
```
10
Lattice="4.046 0.000 0.000 0.000 4.046 0.000 0.000 0.000 14.312" Properties=species:S:1:pos:R:3 pbc="T T T"
Ce 1.011 1.011 1.110
Ce 3.034 3.034 13.202
Pu 1.011 1.011 8.831
Pu 3.034 3.034 5.481
Se 1.011 1.011 5.840
Se 1.011 1.011 11.544
Se 3.034 3.034 2.768
Se 3.034 3.034 8.472
N 1.011 3.034 0.000
N 3.034 1.011 0.000
```

First-principles (PBE) data for CePuSeN2 after structural relaxation, as listed in Alexandria via LeMat-Bulk.

As for the raw formation energy: -1464 meV/atom. The calculation puts the final energy at -9.5444 eV/atom. As for the space-group type: I4mm, No. 107.

The structure in extended XYZ format:
```
10
Lattice="3.866 0.000 0.000 0.000 3.866 0.000 0.000 0.000 12.236" Properties=species:S:1:pos:R:3 pbc="T T T"
Ce 0.000 0.000 0.000
Ce 1.933 1.933 6.118
Pu 0.000 0.000 3.818
Pu 1.933 1.933 9.936
Se 0.000 0.000 7.966
Se 1.933 1.933 1.848
N 0.000 1.933 4.873
N 0.000 1.933 10.992
N 1.933 0.000 4.873
N 1.933 0.000 10.992
```

First-principles (PBE) data for Ce3Sm4PuN8 after structural relaxation, as listed in Alexandria via LeMat-Bulk.

As for the raw formation energy: -1470 meV/atom. The calculation puts the final energy at -8.8204 eV/atom. As for the space-group type: R-3m, No. 166.

The structure in extended XYZ format:
```
16
Lattice="3.563 2.057 5.816 -3.563 2.057 5.816 0.000 -4.114 5.816" Properties=species:S:1:pos:R:3 pbc="T T T"
Ce -1.781 -1.028 5.816
Ce -1.781 1.028 11.632
Ce 0.000 2.057 5.816
Sm -3.563 0.000 8.724
Sm -1.781 1.028 2.908
Sm 1.781 1.028 2.908
Sm 0.000 0.000 8.724
Pu 0.000 0.000 0.000
N 0.000 -2.079 7.201
N -1.800 1.039 7.201
N -1.800 -1.039 10.248
N 0.000 0.000 4.420
N 0.000 0.000 13.028
N 1.800 1.039 7.201
N 1.800 -1.039 10.248
N 0.000 2.079 10.248
```

First-principles (PBE) data for CeSm3Pu2N6 after structural relaxation, as listed in Alexandria via LeMat-Bulk.

As for the raw formation energy: -1417 meV/atom. The calculation puts the final energy at -9.6426 eV/atom. As for the space-group type: C2/m, No. 12.

The structure in extended XYZ format:
```
12
Lattice="3.068 -5.314 0.000 3.068 5.314 0.000 -2.045 0.000 5.774" Properties=species:S:1:pos:R:3 pbc="T T T"
Ce 0.000 0.000 0.000
Sm 2.046 3.544 2.887
Sm 2.046 0.000 2.887
Sm 2.046 -3.544 2.887
Pu 3.068 1.771 0.000
Pu 3.068 -1.771 0.000
N 1.047 1.810 1.351
N 0.045 0.000 4.428
N 1.047 -1.810 1.351
N 3.045 1.810 4.422
N 4.047 0.000 1.346
N 3.045 -1.810 4.422
```

First-principles (PBE) data for CeSm2PuN4 after structural relaxation, as listed in Alexandria via LeMat-Bulk.

As for the raw formation energy: -1435 meV/atom. The calculation puts the final energy at -9.3103 eV/atom. As for the space-group type: P2/m, No. 10.

The structure in extended XYZ format:
```
8
Lattice="6.151 0.000 0.000 0.000 3.553 0.000 -2.077 0.000 5.796" Properties=species:S:1:pos:R:3 pbc="T T T"
Ce 0.000 0.000 0.000
Sm -1.038 1.776 2.898
Sm 2.037 0.000 2.898
Pu 3.076 1.776 0.000
N 1.029 1.776 1.386
N 0.020 0.000 4.441
N 4.055 0.000 1.355
N 3.046 1.776 4.409
```

First-principles (PBE) data for CeSmPuN3 after structural relaxation, as listed in Alexandria via LeMat-Bulk.

As for the raw formation energy: -1287 meV/atom. The calculation puts the final energy at -9.6141 eV/atom. As for the space-group type: P2_1/m, No. 11.

The structure in extended XYZ format:
```
12
Lattice="6.117 0.000 0.000 0.000 3.507 0.000 -1.906 0.000 8.877" Properties=species:S:1:pos:R:3 pbc="T T T"
Ce 0.565 0.877 3.996
Ce 3.646 2.630 4.880
Sm 0.545 2.630 7.176
Sm 3.667 0.877 1.701
Pu 0.638 2.630 1.256
Pu 3.573 0.877 7.621
N -0.960 0.877 5.815
N 1.556 0.877 0.060
N 2.168 2.630 2.922
N 2.043 0.877 5.955
N 2.655 2.630 8.817
N 5.171 2.630 3.062
```

First-principles (PBE) data for Ce3SmPu2N6 after structural relaxation, as listed in Alexandria via LeMat-Bulk.

As for the raw formation energy: -1419 meV/atom. The calculation puts the final energy at -9.8468 eV/atom. As for the space-group type: C2/m, No. 12.

The structure in extended XYZ format:
```
12
Lattice="3.071 -5.316 0.000 3.071 5.316 0.000 -2.051 0.000 5.776" Properties=species:S:1:pos:R:3 pbc="T T T"
Ce 0.000 0.000 0.000
Ce 3.071 1.763 0.000
Ce 3.071 -1.763 0.000
Sm 2.045 0.000 2.888
Pu 2.045 3.543 2.888
Pu 2.045 -3.543 2.888
N 0.987 1.833 1.475
N -0.076 0.000 4.286
N 0.987 -1.833 1.475
N 3.104 1.833 4.301
N 4.167 0.000 1.490
N 3.104 -1.833 4.301
```

First-principles (PBE) data for Ce2SmPu3N6 after structural relaxation, as listed in Alexandria via LeMat-Bulk.

As for the raw formation energy: -1383 meV/atom. The calculation puts the final energy at -10.5106 eV/atom. As for the space-group type: C2/m, No. 12.

The structure in extended XYZ format:
```
12
Lattice="3.058 -5.298 0.000 3.058 5.298 0.000 -2.039 0.000 5.741" Properties=species:S:1:pos:R:3 pbc="T T T"
Ce 3.058 3.532 0.000
Ce 3.058 -3.532 0.000
Sm 3.058 0.000 0.000
Pu -1.020 0.000 2.870
Pu 2.038 1.763 2.870
Pu 2.038 -1.763 2.870
N -0.008 1.780 4.223
N 1.005 0.000 1.524
N -0.008 -1.780 4.223
N 4.085 1.780 1.518
N 3.072 0.000 4.216
N 4.085 -1.780 1.518
```

> Which value of final energy does entry 6 give?

-8.8204 eV/atom

> Among the records above, which one has the highest final energy?

CePuSb2N